# 1
An optimized crystal structure of Ge2MoIr, computed with PBE.

Output
ΔH_f (0 K)   0.264 eV per atom
Symmetry   R-3m
Electronic total energy   -6.968 eV/atom
Volume   66.82 Å³/cell

abc: 2.907 2.907 9.284
angles: 80.99 80.99 60.00
Element x y z (fractional)
1 Mo 0.000 0.000 0.000
2 Ir 0.500 0.500 0.500
3 Ge 0.094 0.094 0.717
4 Ge 0.906 0.906 0.283

# 2
An optimized crystal structure of GeMo3Ir, computed with PBE.

Output
ΔH_f (0 K)   1.450 eV per atom
Symmetry   Pm-3m
Electronic total energy   -7.744 eV/atom
Volume   92.26 Å³/cell

abc: 4.519 4.519 4.519
angles: 90.00 90.00 90.00
Element x y z (fractional)
1 Mo 0.000 0.500 0.000
2 Mo 0.000 0.000 0.500
3 Mo 0.500 0.000 0.000
4 Ir 0.500 0.500 0.500
5 Ge 0.000 0.000 0.000